[1]
Entry from Alexandria: crystalline Ac4Pm3YS8 at its relaxed geometry (PBE-GGA).

Calculated values
E	-6.39	eV/atom
total magnetic moment	0.00	μB per formula unit
V	25.36	A^3/atom
D(E_F)	0.469	states/eV per atom

abc: 8.2619 8.2619 20.5898
angles: 90.00 90.00 120.00
Space group R-3m (No. 166, hexagonal axes)
Inequivalent atoms, fractional coordinates:
Ac1 0.0000 0.0000 0.0000 [3 per cell]
Ac2 0.0000 0.5000 0.0000 [9 per cell]
Pm1 0.0000 0.5000 0.5000 [9 per cell]
Y1 0.0000 0.0000 0.5000 [3 per cell]
S1 0.0000 0.0000 0.2437 [6 per cell]
S2 0.0057 0.5028 0.2424 [18 per cell]


[2]
Entry from Alexandria: crystalline PrEuYHo at its relaxed geometry (PBE-GGA).

Calculated values
E	-6.38	eV/atom
total magnetic moment	8.05	μB per formula unit
calculated formation energy	0.15	eV per atom
V	34.78	A^3/atom
D(E_F)	1.704	states/eV per atom

abc: 8.2256 8.2256 8.2256
angles: 90.00 90.00 90.00
Space group F-43m (No. 216)
Inequivalent atoms, fractional coordinates:
Pr1 0.0000 0.0000 0.0000 [4 per cell]
Eu1 0.2500 0.2500 0.2500 [4 per cell]
Y1 0.0000 0.0000 0.5000 [4 per cell]
Ho1 0.2500 0.2500 0.7500 [4 per cell]


[3]
Entry from Alexandria: crystalline LiNd2Sn3Se6 at its relaxed geometry (PBE-GGA).

Calculated values
E	-4.70	eV/atom
total magnetic moment	0.00	μB per formula unit
V	27.64	A^3/atom
D(E_F)	0.256	states/eV per atom

abc: 18.6300 4.3527 8.4731
angles: 90.00 105.12 90.00
Space group C2/m (No. 12)
Inequivalent atoms, fractional coordinates:
Li1 0.0000 0.0000 0.0000 [2 per cell]
Nd1 0.1638 0.5000 0.3257 [4 per cell]
Sn1 0.0000 0.0000 0.5000 [2 per cell]
Sn2 0.1592 0.5000 0.8553 [4 per cell]
Se1 0.0017 0.5000 0.2429 [4 per cell]
Se2 0.1627 0.0000 0.0803 [4 per cell]
Se3 0.1688 0.0000 0.5733 [4 per cell]


[4]
Entry from Alexandria: crystalline Y4GaTe3 at its relaxed geometry (PBE-GGA).

Calculated values
E	-6.00	eV/atom
energy above the most stable polymorph in this dataset	0.0	kJ/mol of atoms
total magnetic moment	0.00	μB per formula unit
V	28.94	A^3/atom
D(E_F)	0.159	states/eV per atom

abc: 7.5426 8.7068 7.4741
angles: 90.00 109.35 90.00
Space group P2/c (No. 13)
Inequivalent atoms, fractional coordinates:
Y1 0.2281 0.1146 0.0018 [4 per cell]
Y2 0.2334 0.3540 0.4814 [4 per cell]
Ga1 0.0000 0.1218 0.2500 [2 per cell]
Te1 0.0000 0.3781 0.7500 [2 per cell]
Te2 0.5000 0.1252 0.7500 [2 per cell]
Te3 0.5000 0.3811 0.2500 [2 per cell]